Entry 1:
An optimized crystal structure of CaTb3Mn4O12, computed with PBE+U.

Cell: 5.346 7.602 5.677 Å, 90.00 90.89 90.00°
Element x y z (fractional)
Ca: 0.000 0.000 0.000
Tb: 0.033 0.500 0.134
Tb: 0.497 0.500 0.632
Tb: 0.530 0.000 0.492
Mn: 0.012 0.249 0.564
Mn: 0.012 0.751 0.564
Mn: 0.517 0.248 0.061
Mn: 0.517 0.752 0.061
O: 0.119 0.000 0.593
O: 0.216 0.308 0.864
O: 0.216 0.692 0.864
O: 0.304 0.304 0.371
O: 0.304 0.696 0.371
O: 0.421 0.000 0.097
O: 0.620 0.500 0.030
O: 0.711 0.204 0.743
O: 0.711 0.796 0.743
O: 0.812 0.202 0.263
O: 0.812 0.798 0.263
O: 0.909 0.500 0.529

Values from the calculation:
Space group ... Pm (6)
M_tot ... 15.00 Bohr magnetons per cell
Calculated volume ... 230.70 Å³/cell
VASP energy ... -155.1 eV per formula unit

---

Entry 2:
An optimized crystal structure of CaMnTc2O8, computed with PBE+U.

Cell: 6.798 6.798 6.798 Å, 135.34 135.34 65.00°
Element x y z (fractional)
Ca: 0.000 0.000 0.000
Mn: 0.250 0.750 0.500
Tc: 0.500 0.500 0.000
Tc: 0.750 0.250 0.500
O: 0.263 0.669 0.099
O: 0.331 0.430 0.594
O: 0.420 0.005 0.082
O: 0.570 0.164 0.901
O: 0.662 0.580 0.585
O: 0.836 0.737 0.406
O: 0.923 0.338 0.918
O: 0.995 0.077 0.415

Values from the calculation:
Space group ... I-4 (82)
M_tot ... 6.94 Bohr magnetons per cell
Calculated volume ... 152.97 Å³/cell
VASP energy ... -90.3 eV per formula unit

---

Entry 3:
An optimized crystal structure of CaMnTeO6, computed with PBE+U.

Cell: 5.125 5.125 10.234 Å, 90.00 90.00 120.00°
Element x y z (fractional)
Ca: 0.000 0.000 0.000
Ca: 0.000 0.000 0.500
Mn: 0.333 0.667 0.250
Mn: 0.667 0.333 0.750
Te: 0.333 0.667 0.750
Te: 0.667 0.333 0.250
O: 0.002 0.373 0.144
O: 0.002 0.629 0.356
O: 0.371 0.373 0.356
O: 0.371 0.998 0.144
O: 0.373 0.002 0.644
O: 0.373 0.371 0.856
O: 0.627 0.629 0.144
O: 0.627 0.998 0.356
O: 0.629 0.002 0.856
O: 0.629 0.627 0.644
O: 0.998 0.371 0.644
O: 0.998 0.627 0.856

Values from the calculation:
Space group ... P-31c (163)
M_tot ... 5.95 Bohr magnetons per cell
Calculated volume ... 232.80 Å³/cell
VASP energy ... -57.7 eV per formula unit

---

Entry 4:
An optimized crystal structure of CaMnTe2O6, computed with PBE+U.

Cell: 7.379 7.379 7.049 Å, 107.43 107.43 91.56°
Element x y z (fractional)
Ca: 0.062 0.938 0.750
Ca: 0.938 0.062 0.250
Mn: 0.261 0.739 0.250
Mn: 0.739 0.261 0.750
Te: 0.170 0.441 0.721
Te: 0.441 0.170 0.221
Te: 0.559 0.830 0.779
Te: 0.830 0.559 0.279
O: 0.003 0.376 0.298
O: 0.014 0.785 0.358
O: 0.215 0.986 0.142
O: 0.248 0.495 0.014
O: 0.376 0.003 0.798
O: 0.495 0.248 0.514
O: 0.505 0.752 0.486
O: 0.624 0.997 0.202
O: 0.752 0.505 0.986
O: 0.785 0.014 0.858
O: 0.986 0.215 0.642
O: 0.997 0.624 0.702

Values from the calculation:
Space group ... C2/c (15)
M_tot ... 10.00 Bohr magnetons per cell
Calculated volume ... 346.50 Å³/cell
VASP energy ... -61.6 eV per formula unit

---

Entry 5:
An optimized crystal structure of Ca2MnTeO6, computed with PBE+U.

Cell: 5.706 5.706 4.112 Å, 90.00 90.00 90.00°
Element x y z (fractional)
Ca: 0.000 0.500 0.000
Ca: 0.500 0.000 0.000
Mn: 0.000 0.000 0.584
Te: 0.500 0.500 0.591
O: 0.000 0.000 0.096
O: 0.260 0.260 0.641
O: 0.260 0.740 0.641
O: 0.500 0.500 0.118
O: 0.740 0.260 0.641
O: 0.740 0.740 0.641

Values from the calculation:
Space group ... P4mm (99)
M_tot ... 4.54 Bohr magnetons per cell
Calculated volume ... 133.85 Å³/cell
VASP energy ... -63.2 eV per formula unit

---

Entry 6:
An optimized crystal structure of CaMnTe2O8, computed with PBE+U.

Cell: 4.992 6.343 4.996 Å, 90.00 94.71 90.00°
Element x y z (fractional)
Ca: 0.000 0.000 0.000
Mn: 0.000 0.500 0.000
Te: 0.500 0.254 0.500
Te: 0.500 0.746 0.500
O: 0.222 0.262 0.221
O: 0.222 0.738 0.221
O: 0.319 0.500 0.679
O: 0.326 0.000 0.672
O: 0.674 0.000 0.328
O: 0.681 0.500 0.321
O: 0.778 0.262 0.779
O: 0.778 0.738 0.779

Values from the calculation:
Space group ... P2/m (10)
M_tot ... 4.98 Bohr magnetons per cell
Calculated volume ... 157.69 Å³/cell
VASP energy ... -72.7 eV per formula unit

---

no.,D(E_F) (states/eV/cell)
1,2.17
2,5.70
3,0.00
4,0.00
5,1.54
6,1.10